Record 1
TbErTiIn PBE optimized geometry; V = 25.5 Å³/atom; SG = F-43m, No. 216; crystal system = cubic
1.0
0.000 3.708 3.708
3.708 0.000 3.708
3.708 3.708 0.000
Tb Er Ti In
1 1 1 1
Direct
0.000 0.000 0.000
0.500 0.500 0.500
0.250 0.250 0.250
0.750 0.750 0.750

Record 2
TbEr5TlIn2 PBE optimized geometry; V = 28.5 Å³/atom; SG = I4/mcm, No. 140; crystal system = tetragonal
1.0
-4.239 4.239 7.148
4.239 -4.239 7.148
4.239 4.239 -7.148
Tb Er Tl In
2 10 2 4
Direct
0.250 0.750 0.500
0.750 0.250 0.500
0.000 0.000 0.000
0.077 0.577 0.921
0.155 0.077 0.500
0.345 0.845 0.921
0.423 0.345 0.500
0.500 0.500 0.000
0.577 0.655 0.500
0.655 0.155 0.079
0.845 0.923 0.500
0.923 0.423 0.079
0.250 0.250 0.000
0.750 0.750 0.000
0.111 0.389 0.500
0.389 0.889 0.278
0.611 0.111 0.722
0.889 0.611 0.500

Number 1: ΔH_f (0 K) -92 meV per atom. Number 2: ΔH_f (0 K) -16 meV per atom.